Computed, not measured: a relaxed structure of MgW2F at the PBE+U level of DFT.

Summary:
The polymorph energy (0 for the lowest one) is 0 meV/atom. Its volume is 107.50 Å³/f.u. The symmetry is I-42d (122). The total moment comes out at 7.5 μB per formula unit.

Lattice parameters (Å, degrees): 5.6537 5.6537 7.8248 68.82 68.82 90.00
Last column: nearest neighbours and their distance in Å.
Element x y z (fractional)
W  0.3750  0.5167  0.7500  2 F 2.28
W  0.4833  0.1250  0.2500  2 F 2.28
W  0.2667  0.6250  0.2500  2 F 2.28
W  0.8750  0.7333  0.7500  2 F 2.28
Mg  0.0000  0.0000  0.0000  4 W 3.12
Mg  0.7500  0.2500  0.5000  4 W 3.12
F  0.2500  0.7500  0.5000  4 W 2.28
F  0.5000  0.5000  0.0000  4 W 2.28